HgMoPbO4: relaxed, PBE with a Hubbard U.

Properties
The calculation puts the total energy at -79.9 eV for the cell shown. The value obtained for the density of states at the Fermi level is 0.00 states/eV per cell. The total moment comes out at 0.000 μB per formula unit.

a b c (Å): 6.932 6.932 7.373
angles (deg): 102.21 102.21 65.57
Atoms (fractional coordinates):
Hg  0.021  0.021  0.231
Hg  0.979  0.979  0.769
Mo  0.362  0.362  0.225
Mo  0.638  0.638  0.775
Pb  0.269  0.269  0.657
Pb  0.731  0.731  0.343
O  0.130  0.510  0.345
O  0.281  0.281  0.983
O  0.482  0.482  0.754
O  0.490  0.870  0.655
O  0.510  0.130  0.345
O  0.518  0.518  0.246
O  0.719  0.719  0.017
O  0.870  0.490  0.655